Entry from Alexandria: La2MgOs after structural relaxation (GGA-PBE).

Computed properties:
Calculated formation energy: 74 meV/atom
E_tot: -5.595 eV/atom
Volume: 27.5 Å³/atom
Total magnetic moment: 0.0 Bohr magnetons per cell

Cell: 4.2045 4.5824 6.0823 Å, 90.00 110.14 90.00°
Space group Pm (No. 6)
Inequivalent atoms, fractional coordinates:
La 0.0000 0.0000 0.0000 [1 per cell]
La 0.2673 0.5000 0.5368 [1 per cell]
Mg 0.5661 0.5000 0.1324 [1 per cell]
Os 0.6938 0.0000 0.3906 [1 per cell]